(1)
GaHPb: optimized geometry, GGA-PBE.

Fermi-level density of states	3.9	states/eV/cell
distance to the lowest polymorph of the same formula	19.63	kJ/mol of atoms

a b c (Å): 8.771 3.383 7.587
angles (deg): 90.00 90.00 90.00
Positions (direct):
Ga  0.002  0.250  0.164
Ga  0.498  0.750  0.664
Ga  0.502  0.250  0.336
Ga  0.998  0.750  0.836
H  0.106  0.750  0.227
H  0.394  0.250  0.727
H  0.606  0.750  0.273
H  0.894  0.250  0.773
Pb  0.191  0.250  0.543
Pb  0.309  0.750  0.043
Pb  0.691  0.250  0.957
Pb  0.809  0.750  0.457

***

(2)
Ga2HPb: optimized geometry, GGA-PBE.

Fermi-level density of states	3.2	states/eV/cell
distance to the lowest polymorph of the same formula	0.00	kJ/mol of atoms

a b c (Å): 7.103 7.103 7.103
angles (deg): 137.46 137.46 61.72
Positions (direct):
Ga  0.375  0.183  0.308
Ga  0.817  0.125  0.192
Ga  0.875  0.067  0.692
Ga  0.933  0.625  0.808
H  0.000  0.000  0.000
H  0.750  0.250  0.500
Pb  0.250  0.750  0.500
Pb  0.500  0.500  0.000

***

(3)
GaHPb: optimized geometry, GGA-PBE.

Fermi-level density of states	2.5	states/eV/cell
distance to the lowest polymorph of the same formula	4.25	kJ/mol of atoms

a b c (Å): 3.264 6.228 6.653
angles (deg): 87.59 89.47 88.82
Positions (direct):
Ga  0.000  0.000  0.000
Ga  0.492  0.339  0.006
H  0.737  0.158  0.560
H  0.747  0.181  0.447
Pb  0.010  0.652  0.730
Pb  0.484  0.687  0.276

***

Number 1: DFT total energy -36.831 eV/cell. Number 2: DFT total energy -24.133 eV/cell. Number 3: DFT total energy -19.372 eV/cell.